(1)
First-principles (GGA-PBE) data for an optimized crystal structure of KPtRhI2, as listed in Alexandria via LeMat-Bulk.

## Properties
Total energy   -0.213 Ry per atom
Volume   34.24 Å³ per atom
Density of states at the Fermi level   10.66 states/eV/f.u.

Lattice parameters (Å, degrees): 5.473 5.473 5.716 90.00 90.00 90.00
Fractional positions:
K 0.000 0.000 0.000
Pt 0.000 0.000 0.500
Rh 0.500 0.500 0.000
I 0.000 0.500 0.500
I 0.500 0.000 0.500

---

(2)
First-principles (GGA-PBE) data for an optimized crystal structure of Be3Hg, as listed in Alexandria via LeMat-Bulk.

## Properties
Polymorph energy (0 for the lowest one)   0.709 eV per formula unit
Volume   11.73 Å³ per atom
Formation enthalpy at 0 K   0.4422 eV/atom
Density of states at the Fermi level   0.76 states/eV/f.u.

Lattice parameters (Å, degrees): 3.607 3.607 3.607 90.00 90.00 90.00
Fractional positions:
Be 0.000 0.000 0.500
Be 0.000 0.500 0.000
Be 0.500 0.000 0.000
Hg 0.500 0.500 0.500

---

(3)
First-principles (GGA-PBE) data for an optimized crystal structure of Rb4DyI7, as listed in Alexandria via LeMat-Bulk.

## Properties
Total energy   -0.224 Ry per atom
Volume   56.20 Å³ per atom
Density of states at the Fermi level   0.00 states/eV/f.u.

Lattice parameters (Å, degrees): 9.766 9.766 12.414 104.66 104.66 36.23
Fractional positions:
Rb 0.014 0.014 0.206
Rb 0.255 0.255 0.831
Rb 0.745 0.745 0.169
Rb 0.986 0.986 0.794
Dy 0.500 0.500 0.500
I 0.000 0.000 0.500
I 0.145 0.145 0.040
I 0.383 0.383 0.278
I 0.383 0.383 0.629
I 0.617 0.617 0.371
I 0.617 0.617 0.722
I 0.855 0.855 0.960

---

(4)
First-principles (GGA-PBE) data for an optimized crystal structure of LuNbCoRu, as listed in Alexandria via LeMat-Bulk.

## Properties
Volume   16.54 Å³ per atom
Formation enthalpy at 0 K   -0.2451 eV/atom
Density of states at the Fermi level   2.41 states/eV/f.u.

Lattice parameters (Å, degrees): 4.540 4.540 4.540 60.00 60.00 60.00
Fractional positions:
Lu 0.000 0.000 0.000
Nb 0.500 0.500 0.500
Co 0.750 0.750 0.750
Ru 0.250 0.250 0.250